[1]
Zr6ScCo2 (PBE-GGA, optimized geometry); ΔE_f = -0.950 eV/f.u.; density = 6.4 g/cm³
1.0
-3.128 -2.114 6.885
-5.662 -0.861 -5.372
6.011 -4.273 -2.695
Zr Sc Co
12 2 4
Direct
0.704 0.691 0.396
0.502 0.199 0.303
0.897 0.199 0.697
0.498 0.801 0.697
0.783 0.010 0.227
0.296 0.691 0.987
0.217 0.990 0.773
0.783 0.555 0.773
0.103 0.801 0.303
0.704 0.309 0.013
0.296 0.309 0.604
0.217 0.445 0.227
0.000 0.000 0.000
0.000 0.500 0.500
0.500 0.878 0.378
0.642 0.642 0.000
0.500 0.122 0.622
0.358 0.358 0.000

[2]
Sn4PbSe5 (PBE-GGA, optimized geometry); density = 6.3 g/cm³; formation energy (no corrections) = -0.46 eV per atom
1.0
-1.072 -2.958 -2.931
4.202 -6.006 1.370
-5.717 -5.952 4.943
Sn Se Pb
4 5 1
Direct
0.799 0.604 0.798
0.401 0.798 0.400
0.201 0.396 0.202
0.599 0.202 0.600
0.603 0.691 0.102
0.397 0.309 0.898
0.202 0.901 0.695
0.798 0.099 0.305
0.000 0.500 0.500
0.000 0.000 0.000

Q: Look up the density of the first one.
A: 6.4 g/cm³